10
Lattice="4.550 0.000 0.000 0.000 4.550 0.000 0.000 0.000 11.388" Properties=species:S:1:pos:R:3 comment="Nd2NpSb3Pt4, relaxed, DFT PBE" e_form_raw_ev_per_atom=-0.76 dos_at_fermi_per_ev_atom=0.81 e_tot_ev_per_cell=-66.572 spacegroup="P-4m2 (115)" pbc="T T T"
Nd 0.000 2.275 2.449
Nd 2.275 0.000 8.939
Np 0.000 0.000 5.694
Sb 0.000 2.275 9.934
Sb 2.275 0.000 1.454
Sb 2.275 2.275 5.694
Pt 0.000 0.000 0.000
Pt 0.000 2.275 7.349
Pt 2.275 0.000 4.039
Pt 2.275 2.275 0.000


12
Lattice="2.910 -2.868 0.000 2.910 2.868 0.000 -2.051 0.000 13.776" Properties=species:S:1:pos:R:3 comment="NdNp2Si2Pt7, relaxed, DFT PBE" e_form_raw_ev_per_atom=-0.77 dos_at_fermi_per_ev_atom=1.88 e_tot_ev_per_cell=-93.016 spacegroup="C2/m (12)" pbc="T T T"
Nd 0.000 0.000 0.000
Np -0.070 0.000 4.978
Np 3.838 0.000 8.798
Si 0.840 0.000 10.237
Si 2.928 0.000 3.540
Pt 1.467 1.430 2.282
Pt 0.970 0.000 7.883
Pt 2.301 1.430 11.494
Pt 2.910 0.000 0.000
Pt 1.467 -1.430 2.282
Pt 2.797 0.000 5.893
Pt 2.301 -1.430 11.494


10
Lattice="4.261 0.000 0.000 0.000 4.261 0.000 0.000 0.000 10.936" Properties=species:S:1:pos:R:3 comment="Nd2NpSi4Pt3, relaxed, DFT PBE" e_form_raw_ev_per_atom=-0.79 dos_at_fermi_per_ev_atom=0.98 e_tot_ev_per_cell=-70.206 spacegroup="P-4m2 (115)" pbc="T T T"
Nd 0.000 2.130 2.532
Nd 2.130 0.000 8.404
Np 0.000 0.000 5.468
Si 0.000 0.000 0.000
Si 0.000 2.130 7.330
Si 2.130 0.000 3.606
Si 2.130 2.130 0.000
Pt 0.000 2.130 9.751
Pt 2.130 0.000 1.185
Pt 2.130 2.130 5.468


20
Lattice="10.514 0.000 0.000 0.000 10.514 0.000 0.000 0.000 3.691" Properties=species:S:1:pos:R:3 comment="Nd2PuNp2Ru5, relaxed, DFT PBE" dos_at_fermi_per_ev_atom=2.13 e_tot_ev_per_cell=-192.952 e_form_mev_per_atom=-35 spacegroup="P4/mbm (127)" pbc="T T T"
Nd 1.823 3.434 0.000
Nd 3.434 8.691 0.000
Nd 7.081 1.823 0.000
Nd 8.691 7.081 0.000
Pu 0.000 0.000 0.000
Pu 5.257 5.257 0.000
Np 1.406 6.663 0.000
Np 3.851 1.406 0.000
Np 6.663 9.108 0.000
Np 9.108 3.851 0.000
Ru 0.000 5.257 1.845
Ru 0.598 8.362 1.845
Ru 2.152 0.598 1.845
Ru 3.105 5.855 1.845
Ru 4.659 3.105 1.845
Ru 5.257 0.000 1.845
Ru 5.855 7.409 1.845
Ru 7.409 4.659 1.845
Ru 8.362 9.916 1.845
Ru 9.916 2.152 1.845


8
Lattice="6.848 0.000 0.000 0.000 3.952 0.000 -2.290 0.000 6.536" Properties=species:S:1:pos:R:3 comment="NdPu2NpS4, relaxed, DFT PBE" e_form_raw_ev_per_atom=-1.71 dos_at_fermi_per_ev_atom=2.96 e_tot_ev_per_cell=-76.580 spacegroup="P2/m (10)" pbc="T T T"
Nd 0.000 0.000 0.000
Pu -1.145 1.976 3.268
Pu 2.279 0.000 3.268
Np 3.424 1.976 0.000
S 0.032 0.000 4.891
S 1.172 1.976 1.681
S 3.387 1.976 4.855
S 4.527 0.000 1.645


8
Lattice="6.850 0.000 0.000 0.000 3.957 0.000 -2.278 0.000 6.484" Properties=species:S:1:pos:R:3 comment="NdPuNp2S4, relaxed, DFT PBE" e_form_raw_ev_per_atom=-1.63 dos_at_fermi_per_ev_atom=2.51 e_tot_ev_per_cell=-74.568 spacegroup="P2/m (10)" pbc="T T T"
Nd 0.000 0.000 0.000
Pu -1.139 1.979 3.242
Np 2.286 0.000 3.242
Np 3.425 1.979 0.000
S 0.066 0.000 4.839
S 1.197 1.979 1.683
S 3.375 1.979 4.801
S 4.506 0.000 1.645


9
Lattice="5.681 0.000 0.000 0.000 5.681 0.000 0.000 0.000 11.865" Properties=species:S:1:pos:R:3 comment="NdPuNp2Te5, relaxed, DFT PBE" e_form_raw_ev_per_atom=-0.21 dos_at_fermi_per_ev_atom=4.65 e_tot_ev_per_cell=-62.562 spacegroup="P4/mmm (123)" pbc="T T T"
Nd 0.000 0.000 0.000
Pu 0.000 0.000 5.933
Np 2.841 2.841 1.849
Np 2.841 2.841 10.017
Te 0.000 0.000 2.987
Te 0.000 0.000 8.878
Te 0.000 2.841 0.000
Te 2.841 0.000 0.000
Te 2.841 2.841 5.933


12
Lattice="9.716 -2.216 0.000 9.716 2.216 0.000 -2.121 0.000 8.666" Properties=species:S:1:pos:R:3 comment="Nd2Pu3NpTe6, relaxed, DFT PBE" e_form_raw_ev_per_atom=-1.13 dos_at_fermi_per_ev_atom=3.51 e_tot_ev_per_cell=-97.828 spacegroup="C2/m (12)" pbc="T T T"
Nd 2.536 0.000 2.905
Nd 14.775 0.000 5.762
Pu 1.500 0.000 7.228
Pu 8.655 0.000 4.333
Pu 15.811 0.000 1.439
Np 9.716 0.000 0.000
Te -1.553 0.000 6.522
Te 4.542 0.000 7.986
Te 5.630 0.000 3.576
Te 11.681 0.000 5.091
Te 12.769 0.000 0.680
Te 18.864 0.000 2.145


15
Lattice="4.102 2.368 7.761 -4.102 2.368 7.761 0.000 -4.736 7.761" Properties=species:S:1:pos:R:3 comment="Rb3NdNp3S8, relaxed, DFT PBE" e_form_raw_ev_per_atom=-1.49 dos_at_fermi_per_ev_atom=1.85 e_tot_ev_per_cell=-101.905 spacegroup="R-3m (166)" pbc="T T T"
Rb -2.051 -1.184 7.761
Rb -2.051 1.184 15.521
Rb 0.000 2.368 7.761
Nd 0.000 0.000 11.641
Np -4.102 0.000 11.641
Np -2.051 1.184 3.880
Np 2.051 1.184 3.880
S -2.111 -1.219 13.103
S 0.000 0.000 5.329
S 0.000 -2.437 10.178
S -2.111 1.219 10.178
S 2.111 -1.219 13.103
S 0.000 2.437 13.103
S 0.000 0.000 17.952
S 2.111 1.219 10.178


12
Lattice="3.599 -6.234 0.000 3.599 6.234 0.000 -2.401 0.000 7.696" Properties=species:S:1:pos:R:3 comment="Rb3NdNp2S6, relaxed, DFT PBE" e_form_raw_ev_per_atom=-1.51 dos_at_fermi_per_ev_atom=1.80 e_tot_ev_per_cell=-76.413 spacegroup="C2/m (12)" pbc="T T T"
Rb 0.000 0.000 0.000
Rb 3.599 2.057 0.000
Rb 3.599 -2.057 0.000
Nd 2.399 0.000 3.848
Np 2.399 4.154 3.848
Np 2.399 -4.154 3.848
S 1.169 2.129 2.359
S -0.060 0.000 5.333
S 1.169 -2.129 2.359
S 3.629 2.129 5.337
S 4.859 0.000 2.362
S 3.629 -2.129 5.337


9
Lattice="-2.520 3.625 7.029 2.520 -3.625 7.029 2.520 3.625 -7.029" Properties=species:S:1:pos:R:3 comment="RbNd2NpS5, relaxed, DFT PBE" e_form_raw_ev_per_atom=-1.66 dos_at_fermi_per_ev_atom=1.11 e_tot_ev_per_cell=-59.037 spacegroup="Immm (71)" pbc="T T T"
Rb 0.000 0.000 0.000
Nd 2.520 0.000 4.126
Nd 0.000 3.625 2.903
Np 0.000 0.000 7.029
S 2.520 1.935 -2.149
S 2.520 1.935 2.149
S 0.000 3.625 0.000
S 0.000 1.690 4.880
S 0.000 1.690 9.178


12
Lattice="3.750 -6.495 0.000 3.750 6.495 0.000 -2.500 0.000 8.004" Properties=species:S:1:pos:R:3 comment="Rb3NdNp2Se6, relaxed, DFT PBE" e_form_raw_ev_per_atom=-1.39 dos_at_fermi_per_ev_atom=1.65 e_tot_ev_per_cell=-71.197 spacegroup="C2/m (12)" pbc="T T T"
Rb 0.000 0.000 0.000
Rb 3.750 2.145 0.000
Rb 3.750 -2.145 0.000
Nd 2.500 0.000 4.002
Np 2.500 4.328 4.002
Np 2.500 -4.328 4.002
Se 1.227 2.203 2.418
Se -0.045 0.000 5.583
Se 1.227 -2.203 2.418
Se 3.772 2.203 5.587
Se 5.044 0.000 2.421
Se 3.772 -2.203 5.587


> Number 6 is which compound?

NdPuNp2S4


> Which formula does entry 10 have?

Rb3NdNp2S6